The following is a PBE-GGA calculation of an optimized crystal structure of InSeS2Cl, from Alexandria via LeMat-Bulk.

Geometry as CIF:
```
data_InSeS2Cl
_chemical_formula_sum 'In1 Se1 S2 Cl1'
_cell_length_a 4.9097
_cell_length_b 4.9097
_cell_length_c 5.1166
_cell_angle_alpha 90.00
_cell_angle_beta 90.00
_cell_angle_gamma 90.00
_space_group_name_H-M_alt 'P 4/m m m'
_space_group_IT_number 123
_space_group_name_Hall '-P 4 2'
loop_
_atom_site_label
_atom_site_type_symbol
_atom_site_fract_x
_atom_site_fract_y
_atom_site_fract_z
In1 In 0.0000 0.0000 0.0000
Se1 Se 0.5000 0.5000 0.5000
S1 S 0.0000 0.5000 0.5000
Cl1 Cl 0.5000 0.5000 0.0000
```

Values from the calculation:
The calculation puts the total energy at -3.15 eV/atom. For the relative energy among the computed polymorphs, the calculation gives 0.000 eV/atom. The total magnetization is 0.00 μB per cell. The volume is 24.67 A^3/atom. Its calculated density is 3.95 g cm⁻³.